Record 1
First-principles (GGA-PBE) data for crystalline CaLu2 at its relaxed geometry, as listed in Alexandria.

The calculation puts the energy at -3.575 eV per atom.

a b c (Å): 3.576 3.576 15.333
angles (deg): 90.00 90.00 90.00
Space group I4/mmm (No. 139)
Unique sites:
1 Ca 0.000 0.000 0.000 x2
2 Lu 0.000 0.000 0.322 x4

***

Record 2
First-principles (GGA-PBE) data for crystalline LiCe2Zn5 at its relaxed geometry, as listed in Alexandria.

The calculation puts the energy at -2.707 eV per atom.

a b c (Å): 4.357 4.357 15.174
angles (deg): 90.00 90.00 90.00
Space group I4/mmm (No. 139)
Unique sites:
1 Li 0.000 0.000 0.000 x2
2 Ce 0.000 0.000 0.258 x4
3 Zn 0.000 0.000 0.500 x2
4 Zn 0.000 0.500 0.101 x8